No. 1
Entry from Alexandria via LeMat-Bulk: crystalline Sb2OsRu at its relaxed geometry (PBE).

```
data_Sb2OsRu
_chemical_formula_sum 'Sb2 Os1 Ru1'
_cell_length_a 5.866
_cell_length_b 5.866
_cell_length_c 5.866
_cell_angle_alpha 147.94
_cell_angle_beta 135.53
_cell_angle_gamma 55.87
_symmetry_space_group_name_H-M 'P 1'
_symmetry_Int_Tables_number 1
_symmetry_space_group_name_Hall 'P 1'
loop_
_atom_site_label
_atom_site_fract_x
_atom_site_fract_y
_atom_site_fract_z
Sb1 0.000 0.000 0.000
Sb2 0.726 0.226 0.500
Os1 0.216 0.716 0.500
Ru1 0.509 0.509 0.000
```

Results
As for the electronic total energy: -6.696 eV/atom. For the energy above the most stable polymorph in this dataset, the calculation gives 237 meV per atom. For the density of states at the Fermi level, the calculation gives 0.68 states/eV per atom.

No. 2
Entry from Alexandria via LeMat-Bulk: crystalline Sb2OsPb2 at its relaxed geometry (PBE).

```
data_Sb2OsPb2
_chemical_formula_sum 'Sb4 Os2 Pb4'
_cell_length_a 7.221
_cell_length_b 7.221
_cell_length_c 5.266
_cell_angle_alpha 90.00
_cell_angle_beta 90.00
_cell_angle_gamma 90.00
_symmetry_space_group_name_H-M 'P 1'
_symmetry_Int_Tables_number 1
_symmetry_space_group_name_Hall 'P 1'
loop_
_atom_site_label
_atom_site_fract_x
_atom_site_fract_y
_atom_site_fract_z
Sb1 0.148 0.352 0.000
Sb2 0.352 0.852 0.000
Sb3 0.648 0.148 0.000
Sb4 0.852 0.648 0.000
Os1 0.000 0.000 0.500
Os2 0.500 0.500 0.500
Pb1 0.164 0.664 0.500
Pb2 0.336 0.164 0.500
Pb3 0.664 0.836 0.500
Pb4 0.836 0.336 0.500
```

Results
As for the electronic total energy: -4.551 eV/atom. For the energy above the most stable polymorph in this dataset, the calculation gives 0 meV per atom. For the density of states at the Fermi level, the calculation gives 0.28 states/eV per atom.

No. 3
Entry from Alexandria via LeMat-Bulk: crystalline Sm8Tl6In at its relaxed geometry (PBE).

```
data_Sm8Tl6In
_chemical_formula_sum 'Sm8 Tl6 In1'
_cell_length_a 8.326
_cell_length_b 8.326
_cell_length_c 8.326
_cell_angle_alpha 69.17
_cell_angle_beta 69.17
_cell_angle_gamma 69.17
_symmetry_space_group_name_H-M 'P 1'
_symmetry_Int_Tables_number 1
_symmetry_space_group_name_Hall 'P 1'
loop_
_atom_site_label
_atom_site_fract_x
_atom_site_fract_y
_atom_site_fract_z
Sm1 0.132 0.393 0.664
Sm2 0.190 0.190 0.190
Sm3 0.336 0.868 0.607
Sm4 0.393 0.664 0.132
Sm5 0.607 0.336 0.868
Sm6 0.664 0.132 0.393
Sm7 0.810 0.810 0.810
Sm8 0.868 0.607 0.336
Tl1 0.066 0.823 0.416
Tl2 0.177 0.584 0.934
Tl3 0.416 0.066 0.823
Tl4 0.584 0.934 0.177
Tl5 0.823 0.416 0.066
Tl6 0.934 0.177 0.584
In1 0.500 0.500 0.500
```

Results
As for the electronic total energy: -3.847 eV/atom. The formation enthalpy at 0 K is -3.01 eV/f.u. For the density of states at the Fermi level, the calculation gives 1.12 states/eV per atom.

No. 4
Entry from Alexandria via LeMat-Bulk: crystalline Al2BiAsO8 at its relaxed geometry (PBE).

```
data_Al2BiAsO8
_chemical_formula_sum 'Al2 Bi1 As1 O8'
_cell_length_a 4.532
_cell_length_b 4.532
_cell_length_c 6.103
_cell_angle_alpha 90.00
_cell_angle_beta 90.00
_cell_angle_gamma 91.33
_symmetry_space_group_name_H-M 'P 1'
_symmetry_Int_Tables_number 1
_symmetry_space_group_name_Hall 'P 1'
loop_
_atom_site_label
_atom_site_fract_x
_atom_site_fract_y
_atom_site_fract_z
Al1 0.000 0.000 0.235
Al2 0.000 0.000 0.765
Bi1 0.500 0.500 0.500
As1 0.500 0.500 0.000
O1 0.173 0.173 0.500
O2 0.202 0.202 0.000
O3 0.300 0.700 0.222
O4 0.300 0.700 0.778
O5 0.700 0.300 0.222
O6 0.700 0.300 0.778
O7 0.798 0.798 0.000
O8 0.827 0.827 0.500
```

Results
As for the electronic total energy: -6.406 eV/atom. For the density of states at the Fermi level, the calculation gives 0.07 states/eV per atom.